--- w ---
This record from the Alexandria database describes crystalline TbErNiPd at its relaxed geometry. The functional is PBE.

Unit cell a=4.8749 b=4.8749 c=4.8749 alpha=60.00 beta=60.00 gamma=60.00
Closest atoms and distances in Å follow each position.
Fractional positions:
Tb1 0.0000 0.0000 0.0000  4 Ni 2.99, 4 Pd 2.99
Er1 0.5000 0.5000 0.5000  4 Pd 2.99, 4 Ni 2.99
Ni1 0.2500 0.2500 0.2500  4 Er 2.99, 4 Tb 2.99
Pd1 0.7500 0.7500 0.7500  4 Er 2.99, 4 Tb 2.99

***

--- x ---
This record from the Alexandria database describes crystalline TbErNiPd at its relaxed geometry. The functional is PBE.

Unit cell a=4.3724 b=5.4881 c=5.4881 alpha=40.08 beta=90.00 gamma=90.00
Closest atoms and distances in Å follow each position.
Fractional positions:
Tb1 0.0000 0.0000 0.0000  3 Ni 2.86-2.97, 4 Pd 2.96
Er1 0.5000 0.7213 0.7213  3 Pd 2.92-2.93, 4 Ni 2.94
Ni1 0.0000 0.2775 0.2775  2 Pd 2.74, 3 Tb 2.86-2.97, 4 Er 2.94
Pd1 0.5000 0.4373 0.4373  2 Ni 2.74, 3 Er 2.92-2.93, 4 Tb 2.96

***

Most stable: x (next structure +45 meV/atom)